A geometry-optimized Tb2Y3Tm5 structure, computed with GGA-PBE.

abc: 6.2361 10.9827 10.9827
angles: 99.73 73.51 73.51
Fractional positions:
Y 0.1560 0.0911 0.5969
Tb 0.6053 0.0515 0.7379
Y 0.2500 0.0000 0.0000
Tm 0.5027 0.7473 0.7473
Tb 0.8947 0.2621 0.9485
Tm 0.4973 0.2527 0.2527
Tm 0.0992 0.5566 0.2449
Y 0.6560 0.5969 0.0911
Y 0.7500 0.0000 0.0000
Tb 0.1053 0.7379 0.0515
Tm 0.5992 0.2449 0.5566
Y 0.8440 0.9089 0.4031
Tm 0.9008 0.4434 0.7551
Tm 0.0027 0.7473 0.7473
Tm 0.9973 0.2527 0.2527
Tm 0.2500 0.5000 0.5000
Tb 0.3947 0.9485 0.2621
Y 0.3440 0.4031 0.9089
Tm 0.4008 0.7551 0.4434
Tm 0.7500 0.5000 0.5000

Computed properties:
* symmetry: Ibam (72)
* DFT formation energy: 0.352 eV/atom
* total moment: 0.00 Bohr magnetons per cell
* calculated volume: 33.280 A^3/atom
* polymorph energy (0 for the lowest one): 1.49 eV/f.u.